Record 1
Computed, not measured: a relaxed structure of Ag2GeAs at the GGA-PBE level of DFT.

a b c (Å): 4.7490 4.7490 4.7490
angles (deg): 60.00 60.00 60.00
Closest atoms and distances in Å follow each position.
Positions (direct):
Ag 0.2500 0.2500 0.2500  4 Ge 2.91, 4 As 2.91
Ag 0.7500 0.7500 0.7500  4 Ge 2.91, 4 As 2.91
Ge 0.0000 0.0000 0.0000  8 Ag 2.91
As 0.5000 0.5000 0.5000  8 Ag 2.91

- excess energy over the best structure of this formula in the dataset (eV/f.u.) = 0.00
- calculated total energy (eV per atom) = -3.534
- N(E_F) (states/eV/cell) = 0.93
- energy of formation from the pure elements (eV/atom) = 0.21
- total magnetic moment (Bohr magnetons per cell) = 0.00
- space-group type = Fm-3m, No. 225

---

Record 2
Computed, not measured: a relaxed structure of AgGeAsIr2 at the GGA-PBE level of DFT.

a b c (Å): 4.5847 4.5847 4.9831
angles (deg): 90.00 90.00 90.00
Closest atoms and distances in Å follow each position.
Positions (direct):
Ag 0.0000 0.0000 0.0000  4 Ge 3.24, 8 Ir 3.39
Ge 0.5000 0.5000 0.0000  2 As 2.49
As 0.5000 0.5000 0.5000  4 Ir 2.29, 2 Ge 2.49
Ir 0.0000 0.5000 0.5000  2 As 2.29
Ir 0.5000 0.0000 0.5000  2 As 2.29

- calculated total energy (eV per atom) = -4.989
- N(E_F) (states/eV/cell) = 4.54
- energy of formation from the pure elements (eV/atom) = 0.98
- total magnetic moment (Bohr magnetons per cell) = 0.00
- space-group type = P4/mmm, No. 123

---

Question: energy of formation from the pure elements of number 2 (AgGeAsIr2)?
Answer: 0.98 eV/atom

---

Repeat the second record exactly.
Computed, not measured: a relaxed structure of AgGeAsIr2 at the GGA-PBE level of DFT.

a b c (Å): 4.5847 4.5847 4.9831
angles (deg): 90.00 90.00 90.00
Closest atoms and distances in Å follow each position.
Positions (direct):
Ag 0.0000 0.0000 0.0000  4 Ge 3.24, 8 Ir 3.39
Ge 0.5000 0.5000 0.0000  2 As 2.49
As 0.5000 0.5000 0.5000  4 Ir 2.29, 2 Ge 2.49
Ir 0.0000 0.5000 0.5000  2 As 2.29
Ir 0.5000 0.0000 0.5000  2 As 2.29

- calculated total energy (eV per atom) = -4.989
- N(E_F) (states/eV/cell) = 4.54
- energy of formation from the pure elements (eV/atom) = 0.98
- total magnetic moment (Bohr magnetons per cell) = 0.00
- space-group type = P4/mmm, No. 123

---

Question: What is the formula in the first record?
Answer: Ag2GeAs